1.
HfCu3Bi after structural relaxation, computed with GGA-PBE.

```
HfCu3Bi
1.0
4.877 0.000 0.000
0.000 4.877 0.000
0.000 0.000 4.877
Cu Hf Bi
3 1 1
direct
0.000 0.500 0.000 Cu
0.500 0.000 0.000 Cu
0.000 0.000 0.500 Cu
0.000 0.000 0.000 Hf
0.500 0.500 0.500 Bi
```

## Properties
The magnetization comes out at 0.000 μB per cell. The value obtained for the total energy is -4.165 eV/atom. For the formation energy from the elements, the calculation gives 1059.1 meV/atom.

---

2.
TlCd3 after structural relaxation, computed with GGA-PBE.

```
TlCd3
1.0
-4.762 -0.148 4.318
4.441 -4.231 1.930
2.346 3.702 2.715
Cd Tl
6 2
direct
0.701 0.888 0.750 Cd
0.816 0.184 0.250 Cd
0.888 0.701 0.250 Cd
0.184 0.816 0.750 Cd
0.299 0.112 0.250 Cd
0.112 0.299 0.750 Cd
0.373 0.627 0.250 Tl
0.627 0.373 0.750 Tl
```

## Properties
The magnetization comes out at 0.000 μB per cell. The value obtained for the total energy is -1.229 eV/atom. For the formation energy from the elements, the calculation gives 48.8 meV/atom.

---

3.
SrTa4Co after structural relaxation, computed with GGA-PBE.

```
SrTa4Co
1.0
0.000 3.970 3.970
3.970 0.000 3.970
3.970 3.970 0.000
Ta Co Sr
4 1 1
direct
0.878 0.374 0.374 Ta
0.374 0.878 0.374 Ta
0.374 0.374 0.878 Ta
0.374 0.374 0.374 Ta
0.750 0.750 0.750 Co
0.000 0.000 0.000 Sr
```

## Properties
The magnetization comes out at 0.580 μB per cell. The value obtained for the total energy is -8.510 eV/atom. For the formation energy from the elements, the calculation gives 856.0 meV/atom.

---

4.
TbSc2GaRh4 after structural relaxation, computed with GGA-PBE.

```
TbSc2GaRh4
1.0
-0.360 -1.142 4.403
3.757 -0.524 2.536
0.887 6.716 4.179
Sc Rh Tb Ga
2 4 1 1
direct
0.757 0.757 0.728 Sc
0.243 0.243 0.272 Sc
0.127 0.127 0.619 Rh
0.381 0.381 0.857 Rh
0.873 0.873 0.381 Rh
0.619 0.619 0.143 Rh
0.000 0.000 0.000 Tb
0.500 0.500 0.500 Ga
```

## Properties
The magnetization comes out at 0.000 μB per cell. The value obtained for the total energy is -7.116 eV/atom. For the formation energy from the elements, the calculation gives -900.4 meV/atom.

---

Question: Which of these has the lowest formation energy from the elements?
Answer: TbSc2GaRh4

---

Question: Look up the formation energy from the elements of the fourth one.
Answer: -900.4 meV/atom

---

Question: Which of these has the lowest formation energy from the elements?
Answer: TbSc2GaRh4

---

Question: What is the formation energy from the elements in the first record?
Answer: 1059.1 meV/atom